A relaxed structure of CsTlAg2. Source: Alexandria, functional PBE.

space group: Pnma, No. 62
final energy: -2.1642 eV/atom
energy of formation from the pure elements: 0.07 eV per atom
relative energy among the computed polymorphs: 0.14 eV/f.u.

a = 8.7852 Å, b = 7.5923 Å, c = 7.9207 Å
α = 90.00°, β = 90.00°, γ = 90.00°
Positions (direct):
Cs1 0.0057 0.2500 0.1446
Cs2 0.4943 0.7500 0.6446
Cs3 0.5057 0.2500 0.3554
Cs4 0.9943 0.7500 0.8554
Tl1 0.1639 0.7500 0.3357
Tl2 0.3361 0.2500 0.8357
Tl3 0.6639 0.7500 0.1643
Tl4 0.8361 0.2500 0.6643
Ag1 0.1446 0.0651 0.5645
Ag2 0.1446 0.4349 0.5645
Ag3 0.3554 0.5651 0.0645
Ag4 0.3554 0.9349 0.0645
Ag5 0.6446 0.0651 0.9355
Ag6 0.6446 0.4349 0.9355
Ag7 0.8554 0.5651 0.4355
Ag8 0.8554 0.9349 0.4355